8
Lattice="-2.656 3.640 -4.341 0.362 -5.609 -2.749 -4.856 -0.882 4.089" Properties=species:S:1:pos:R:3 comment="Ce6GaHg | the Alexandria database | GGA-PBE | optimized geometry" formation_enthalpy_0k_kj_per_mol_atoms=5 polymorph_energy_ev_per_atom=0.219 pbc="T T T"
Hg 0.000 0.000 0.000
Ga -3.575 -1.425 -1.501
Ce -1.136 -2.896 -1.030
Ce -4.665 -4.088 -1.260
Ce -6.014 0.046 -1.971
Ce -2.485 1.238 -1.741
Ce -3.711 -1.951 -4.299
Ce -3.439 -0.899 1.297